[1]
This record from the Alexandria database describes a relaxed Ca3GaSi2Pt9 crystal. The functional is PBE.

Results
Magnetization   0.00 μB per cell
Space-group type   P-3m1 (164)
Raw formation energy   -700 meV/atom

```
15
Lattice="5.6961 0.0000 0.0000 -2.8480 4.9329 0.0000 0.0000 0.0000 10.9842" Properties=species:S:1:pos:R:3 pbc="T T T"
Ca 0.0000 0.0000 0.0000
Ca 0.0000 3.2886 8.2942
Ca 2.8480 1.6443 2.6899
Ga 0.0000 0.0000 5.4921
Si 0.0000 3.2886 1.8110
Si 2.8480 1.6443 9.1732
Pt -1.4240 2.4665 0.0000
Pt 0.0000 1.5965 3.4731
Pt -1.4655 4.1347 3.4731
Pt 1.3826 0.7982 7.5111
Pt 2.8480 0.0000 0.0000
Pt 1.4240 2.4665 0.0000
Pt 1.4655 4.1347 3.4731
Pt 4.3135 0.7982 7.5111
Pt 2.8480 3.3365 7.5111
```

***

[2]
This record from the Alexandria database describes a relaxed CsTlVTe3 crystal. The functional is PBE.

Results
Magnetization   2.04 μB per cell
Space-group type   C2/c (15)
Raw formation energy   -482 meV/atom

```
12
Lattice="4.1235 -8.0163 0.0000 4.1235 8.0163 0.0000 -0.0388 0.0000 7.6454" Properties=species:S:1:pos:R:3 pbc="T T T"
Cs 4.0945 4.6300 5.7341
Cs 4.1138 -4.6300 1.9114
Tl 4.1138 1.3202 1.9114
Tl 4.0945 -1.3202 5.7341
V 4.1138 7.1404 1.9114
V 4.0945 -7.1404 5.7341
Te 1.7035 0.0149 3.8214
Te 1.6841 -0.0149 7.6441
Te 4.1138 4.6136 1.9114
Te 4.0945 -4.6136 5.7341
Te 6.5241 0.0149 0.0013
Te 6.5048 -0.0149 3.8240
```

***

[3]
This record from the Alexandria database describes a relaxed AcPuNiAs crystal. The functional is PBE.

Results
Magnetization   5.99 μB per cell
Space-group type   F-43m (216)
Formation energy from the elements   -0.401 eV per atom

```
4
Lattice="0.0000 3.6522 3.6522 3.6522 0.0000 3.6522 3.6522 3.6522 0.0000" Properties=species:S:1:pos:R:3 pbc="T T T"
Ac 0.0000 0.0000 0.0000
Pu 3.6522 3.6522 3.6522
Ni 1.8261 1.8261 1.8261
As 5.4783 5.4783 5.4783
```

***

[4]
This record from the Alexandria database describes a relaxed Sr2Ge2Te crystal. The functional is PBE.

Results
Energy relative to the lowest polymorph listed for this composition   0.110 eV/atom
Magnetization   0.00 μB per cell
Space-group type   P4/mbm (127)
Raw formation energy   -657 meV/atom

```
10
Lattice="8.1448 0.0000 0.0000 0.0000 8.1448 0.0000 0.0000 0.0000 4.4551" Properties=species:S:1:pos:R:3 pbc="T T T"
Sr 1.5011 2.5713 0.0000
Sr 2.5713 6.6437 0.0000
Sr 5.5735 1.5011 0.0000
Sr 6.6437 5.5735 0.0000
Ge 0.8836 4.9560 2.2276
Ge 3.1888 0.8836 2.2276
Ge 4.9560 7.2612 2.2276
Ge 7.2612 3.1888 2.2276
Te 0.0000 0.0000 2.2276
Te 4.0724 4.0724 2.2276
```

***

[5]
This record from the Alexandria database describes a relaxed Ca2Dy crystal. The functional is PBE.

Results
Energy relative to the lowest polymorph listed for this composition   0.227 eV/atom
Magnetization   2.55 μB per cell
Space-group type   Fd-3m (227)
Formation energy from the elements   0.347 eV per atom

```
6
Lattice="0.0000 4.8919 4.8919 4.8919 0.0000 4.8919 4.8919 4.8919 0.0000" Properties=species:S:1:pos:R:3 pbc="T T T"
Ca 0.0000 0.0000 0.0000
Ca 2.4460 2.4460 0.0000
Ca 2.4460 0.0000 2.4460
Ca 0.0000 2.4460 2.4460
Dy 3.6689 3.6689 3.6689
Dy 6.1149 6.1149 6.1149
```

***

[6]
This record from the Alexandria database describes a relaxed AcPm2Te3 crystal. The functional is PBE.

Results
Energy relative to the lowest polymorph listed for this composition   0.000 eV/atom
Magnetization   0.00 μB per cell
Space-group type   C2/m (12)
Raw formation energy   -1420 meV/atom

```
6
Lattice="7.5397 -2.2825 0.0000 7.5397 2.2825 0.0000 -2.7593 0.0000 5.8421" Properties=species:S:1:pos:R:3 pbc="T T T"
Ac 0.0000 0.0000 0.0000
Pm 4.2001 0.0000 1.9983
Pm 8.1200 0.0000 3.8439
Te -1.3796 0.0000 2.9211
Te 2.5923 0.0000 4.8099
Te 9.7279 0.0000 1.0322
```

***

[7]
This record from the Alexandria database describes a relaxed ScCoMo2Pd crystal. The functional is PBE.

Results
Magnetization   0.75 μB per cell
Space-group type   P4/mmm (123)
Formation energy from the elements   1.732 eV per atom

```
5
Lattice="4.6327 0.0000 0.0000 0.0000 4.6327 0.0000 0.0000 0.0000 4.2339" Properties=species:S:1:pos:R:3 pbc="T T T"
Sc 0.0000 0.0000 0.0000
Co 0.0000 0.0000 2.1170
Mo 0.0000 2.3163 0.0000
Mo 2.3163 0.0000 0.0000
Pd 2.3163 2.3163 2.1170
```

***

[8]
This record from the Alexandria database describes a relaxed LiAcMgBi crystal. The functional is PBE.

Results
Magnetization   0.00 μB per cell
Space-group type   F-43m (216)
Formation energy from the elements   -0.205 eV per atom

```
4
Lattice="0.0000 3.9228 3.9228 3.9228 0.0000 3.9228 3.9228 3.9228 0.0000" Properties=species:S:1:pos:R:3 pbc="T T T"
Li 0.0000 0.0000 0.0000
Ac 1.9614 1.9614 1.9614
Mg 5.8842 5.8842 5.8842
Bi 3.9228 3.9228 3.9228
```

***

[9]
This record from the Alexandria database describes a relaxed Al2Si crystal. The functional is PBE.

Results
Magnetization   0.00 μB per cell
Space-group type   Cm (8)
Raw formation energy   133 meV/atom

```
6
Lattice="5.4437 -1.3834 0.0000 5.4437 1.3834 0.0000 -1.2739 0.0000 6.3903" Properties=species:S:1:pos:R:3 pbc="T T T"
Al 0.0000 0.0000 0.0000
Al -0.0695 0.0000 3.7390
Al 2.8477 0.0000 4.2762
Al 7.1619 0.0000 1.9618
Si 4.0622 0.0000 1.8195
Si 6.5094 0.0000 5.7691
```

***

[10]
This record from the Alexandria database describes a relaxed CsK2InF6 crystal. The functional is PBE.

Results
Magnetization   0.36 μB per cell
Space-group type   P2_1/c (14)
Raw formation energy   -2741 meV/atom

```
20
Lattice="6.4415 0.0000 0.0000 0.0000 6.9202 0.0000 -6.2463 0.0000 9.2968" Properties=species:S:1:pos:R:3 pbc="T T T"
Cs 0.0000 0.0000 0.0000
Cs -3.1231 3.4601 4.6484
K -3.1201 0.2302 6.7444
K 0.0030 3.2299 2.0960
K 0.1922 3.6903 7.2007
K 3.3153 6.6900 2.5523
In 0.0976 0.0000 4.6484
In 3.2207 3.4601 0.0000
F -1.7279 1.0243 4.4220
F -4.8510 2.4358 9.0704
F -3.9474 5.0934 8.2729
F -0.8242 5.2869 3.6245
F 0.8297 0.7908 2.8162
F -2.2934 2.6693 7.4645
F 2.4886 4.2509 1.8322
F -0.6345 6.1294 6.4806
F 1.0194 1.6333 5.6723
F 4.1426 1.8268 1.0239
F 5.0462 4.4844 0.2264
F 1.9231 5.8959 4.8748
```

***

[11]
This record from the Alexandria database describes a relaxed ThUC2 crystal. The functional is PBE.

Results
Energy relative to the lowest polymorph listed for this composition   0.000 eV/atom
Magnetization   0.00 μB per cell
Space-group type   R-3m (166)
Formation energy from the elements   -0.261 eV per atom

```
4
Lattice="1.8123 1.0463 5.8964 -1.8123 1.0463 5.8964 0.0000 -2.0927 5.8964" Properties=species:S:1:pos:R:3 pbc="T T T"
Th 0.0000 0.0000 0.0000
U 0.0000 0.0000 8.8447
C 0.0000 0.0000 4.1384
C 0.0000 0.0000 13.5510
```

***

[12]
This record from the Alexandria database describes a relaxed LiTlSnHg2 crystal. The functional is PBE.

Results
Energy relative to the lowest polymorph listed for this composition   0.000 eV/atom
Magnetization   0.00 μB per cell
Space-group type   Pmma (51)
Formation energy from the elements   -0.085 eV per atom

```
10
Lattice="5.8645 0.0000 0.0000 0.0000 7.4595 0.0000 0.0000 0.0000 5.8024" Properties=species:S:1:pos:R:3 pbc="T T T"
Li 0.0000 0.0000 0.0000
Li 2.9322 0.0000 0.0000
Tl 1.4661 3.7297 1.7853
Tl 4.3984 3.7297 4.0171
Sn 1.4661 0.0000 2.5615
Sn 4.3984 0.0000 3.2409
Hg 1.4661 2.1613 4.7721
Hg 1.4661 5.2982 4.7721
Hg 4.3984 2.1613 1.0303
Hg 4.3984 5.2982 1.0303
```

***

[13]
This record from the Alexandria database describes a relaxed Sr2AlHg2 crystal. The functional is PBE.

Results
Energy relative to the lowest polymorph listed for this composition   0.114 eV/atom
Magnetization   0.00 μB per cell
Space-group type   P4/mbm (127)
Formation energy from the elements   -0.303 eV per atom

```
10
Lattice="8.2181 0.0000 0.0000 0.0000 8.2181 0.0000 0.0000 0.0000 4.5288" Properties=species:S:1:pos:R:3 pbc="T T T"
Sr 1.4381 2.6709 0.0000
Sr 2.6709 6.7800 0.0000
Sr 5.5472 1.4381 0.0000
Sr 6.7800 5.5472 0.0000
Al 0.0000 0.0000 2.2644
Al 4.1091 4.1091 2.2644
Hg 1.0732 5.1822 2.2644
Hg 3.0359 1.0732 2.2644
Hg 5.1822 7.1449 2.2644
Hg 7.1449 3.0359 2.2644
```

***

[14]
This record from the Alexandria database describes a relaxed Ti2CrAu crystal. The functional is PBE.

Results
Magnetization   0.00 μB per cell
Space-group type   P4/mmm (123)
Formation energy from the elements   -0.255 eV per atom

```
4
Lattice="3.0826 0.0000 0.0000 0.0000 3.0826 0.0000 0.0000 0.0000 6.5241" Properties=species:S:1:pos:R:3 pbc="T T T"
Ti 0.0000 0.0000 1.4038
Ti 0.0000 0.0000 5.1203
Cr 1.5413 1.5413 0.0000
Au 1.5413 1.5413 3.2621
```

***

[15]
This record from the Alexandria database describes a relaxed Co2HgRh crystal. The functional is PBE.

Results
Magnetization   4.30 μB per cell
Space-group type   Pmmm (47)
Formation energy from the elements   0.285 eV per atom

```
4
Lattice="2.7811 0.0000 0.0000 0.0000 3.7238 0.0000 0.0000 0.0000 5.6184" Properties=species:S:1:pos:R:3 pbc="T T T"
Co 0.0000 0.0000 1.1888
Co 0.0000 0.0000 4.4296
Hg 1.3906 1.8619 2.8092
Rh 1.3906 1.8619 0.0000
```

***

[16]
This record from the Alexandria database describes a relaxed MgVIrOs crystal. The functional is PBE.

Results
Magnetization   0.00 μB per cell
Space-group type   F-43m (216)
Formation energy from the elements   -0.285 eV per atom

```
4
Lattice="0.0000 3.0529 3.0529 3.0529 0.0000 3.0529 3.0529 3.0529 0.0000" Properties=species:S:1:pos:R:3 pbc="T T T"
Mg 0.0000 0.0000 0.0000
V 3.0529 3.0529 3.0529
Ir 4.5793 4.5793 4.5793
Os 1.5264 1.5264 1.5264
```

***

[17]
This record from the Alexandria database describes a relaxed Sn3Ru2 crystal. The functional is PBE.

Results
Magnetization   0.00 μB per cell
Space-group type   P-4c2 (116)
Formation energy from the elements   -0.180 eV per atom

```
20
Lattice="6.2417 0.0000 0.0000 0.0000 6.2417 0.0000 0.0000 0.0000 10.0333" Properties=species:S:1:pos:R:3 pbc="T T T"
Sn 0.9821 1.7372 4.1755
Sn 0.9821 4.5045 9.1921
Sn 1.7372 0.9821 0.8412
Sn 1.7372 5.2596 5.8579
Sn 2.0028 2.0028 7.5250
Sn 2.0028 4.2389 2.5083
Sn 4.2389 2.0028 2.5083
Sn 4.2389 4.2389 7.5250
Sn 4.5045 0.9821 5.8579
Sn 4.5045 5.2596 0.8412
Sn 5.2596 1.7372 9.1921
Sn 5.2596 4.5045 4.1755
Ru 0.0000 0.0000 2.5083
Ru 0.0000 0.0000 7.5250
Ru 0.0000 3.1209 1.2500
Ru 0.0000 3.1209 6.2667
Ru 3.1209 0.0000 3.7667
Ru 3.1209 0.0000 8.7833
Ru 3.1209 3.1209 0.0000
Ru 3.1209 3.1209 5.0167
```

***

[18]
This record from the Alexandria database describes a relaxed TbSmCd crystal. The functional is PBE.

Results
Energy relative to the lowest polymorph listed for this composition   0.291 eV/atom
Magnetization   0.00 μB per cell
Space-group type   Pnma (62)
Formation energy from the elements   0.095 eV per atom

```
12
Lattice="10.3624 0.0000 0.0000 0.0000 5.1740 0.0000 0.0000 0.0000 7.4195" Properties=species:S:1:pos:R:3 pbc="T T T"
Tb 1.2735 1.2935 0.0099
Tb 3.9077 3.8805 3.7197
Tb 6.4547 1.2935 3.6998
Tb 9.0889 3.8805 7.4096
Sm 1.3201 1.2935 3.7178
Sm 3.8611 3.8805 0.0080
Sm 6.5013 1.2935 7.4114
Sm 9.0423 3.8805 3.7017
Cd 1.2941 3.8805 5.5783
Cd 3.8871 1.2935 1.8686
Cd 6.4754 3.8805 5.5509
Cd 9.0683 1.2935 1.8411
```

***

[19]
This record from the Alexandria database describes a relaxed Ac4PmMg2 crystal. The functional is PBE.

Results
Magnetization   0.00 μB per cell
Space-group type   I4/mmm (139)
Formation energy from the elements   0.133 eV per atom

```
7
Lattice="-4.0306 4.0306 4.3281 4.0306 -4.0306 4.3281 4.0306 4.0306 -4.3281" Properties=species:S:1:pos:R:3 pbc="T T T"
Ac 2.0153 2.0153 -2.1641
Ac 2.0153 -2.0153 2.1641
Ac -2.0153 2.0153 2.1641
Ac 2.0153 2.0153 2.1641
Pm 0.0000 0.0000 0.0000
Mg 4.0306 0.0000 0.0000
Mg 0.0000 4.0306 0.0000
```

***

[20]
This record from the Alexandria database describes a relaxed ZrTlAsS2 crystal. The functional is PBE.

Results
Magnetization   0.50 μB per cell
Space-group type   P4/mmm (123)
Raw formation energy   1082 meV/atom

```
5
Lattice="4.8742 0.0000 0.0000 0.0000 4.8742 0.0000 0.0000 0.0000 5.8854" Properties=species:S:1:pos:R:3 pbc="T T T"
Zr 0.0000 0.0000 0.0000
Tl 0.0000 0.0000 2.9427
As 2.4371 2.4371 0.0000
S 0.0000 2.4371 2.9427
S 2.4371 0.0000 2.9427
```